Entry 1:
# KZrAsSe2 (GGA-PBE, relaxed)
data_KZrAsSe2
_chemical_formula_sum 'K1 Zr1 As1 Se2'
_symmetry_space_group_name_H-M 'P 1'
_symmetry_Int_Tables_number 1
_cell_length_a 5.1424
_cell_length_b 8.2281
_cell_length_c 5.1424
_cell_angle_alpha 90.00
_cell_angle_beta 90.00
_cell_angle_gamma 90.00
loop_
_symmetry_equiv_pos_as_xyz
'x,y,z'
loop_
_atom_site_label
_atom_site_type_symbol
_atom_site_fract_x
_atom_site_fract_y
_atom_site_fract_z
_atom_site_occupancy
K1 K 0.0000 0.5000 0.0000 1
As1 As 0.5000 0.5000 0.5000 1
Se1 Se 0.0000 0.0000 0.5000 1
Se2 Se 0.5000 0.0000 0.0000 1
Zr1 Zr 0.0000 0.0000 0.0000 1
# **Final energy**: -4.22 eV per atom
# **E_form (uncorrected)**: 0.16 eV/f.u.
# **Relative energy among the computed polymorphs**: 789 meV/atom

=====

Entry 2:
# ScHg2TeRu (GGA-PBE, relaxed)
data_ScHg2TeRu
_chemical_formula_sum 'Sc1 Hg2 Te1 Ru1'
_symmetry_space_group_name_H-M 'P 1'
_symmetry_Int_Tables_number 1
_cell_length_a 5.2463
_cell_length_b 4.8770
_cell_length_c 5.2463
_cell_angle_alpha 90.00
_cell_angle_beta 90.00
_cell_angle_gamma 90.00
loop_
_symmetry_equiv_pos_as_xyz
'x,y,z'
loop_
_atom_site_label
_atom_site_type_symbol
_atom_site_fract_x
_atom_site_fract_y
_atom_site_fract_z
_atom_site_occupancy
Sc1 Sc 0.0000 0.5000 0.0000 1
Ru1 Ru 0.0000 0.0000 0.0000 1
Te1 Te 0.5000 0.5000 0.5000 1
Hg1 Hg 0.0000 0.0000 0.5000 1
Hg2 Hg 0.5000 0.0000 0.0000 1
# **Final energy**: -3.65 eV per atom
# **E_form (uncorrected)**: 1.08 eV/f.u.

=====

Entry 3:
# Zr3BiH (GGA-PBE, relaxed)
data_Zr3BiH
_chemical_formula_sum 'Zr6 Bi2 H2'
_symmetry_space_group_name_H-M 'P 1'
_symmetry_Int_Tables_number 1
_cell_length_a 5.7948
_cell_length_b 5.7948
_cell_length_c 5.7948
_cell_angle_alpha 86.46
_cell_angle_beta 86.46
_cell_angle_gamma 86.46
loop_
_symmetry_equiv_pos_as_xyz
'x,y,z'
loop_
_atom_site_label
_atom_site_type_symbol
_atom_site_fract_x
_atom_site_fract_y
_atom_site_fract_z
_atom_site_occupancy
H1 H 0.2500 0.2500 0.2500 1
H2 H 0.7500 0.7500 0.7500 1
Bi1 Bi 0.0000 0.0000 0.0000 1
Bi2 Bi 0.5000 0.5000 0.5000 1
Zr1 Zr 0.0024 0.4976 0.2500 1
Zr2 Zr 0.4976 0.2500 0.0024 1
Zr3 Zr 0.2500 0.0024 0.4976 1
Zr4 Zr 0.7500 0.9976 0.5024 1
Zr5 Zr 0.5024 0.7500 0.9976 1
Zr6 Zr 0.9976 0.5024 0.7500 1
# **Final energy**: -6.84 eV per atom
# **Relative energy among the computed polymorphs**: 82 meV/atom

=====

Entry 4:
# GeOsSe2N (GGA-PBE, relaxed)
data_GeOsSe2N
_chemical_formula_sum 'Ge1 Os1 Se2 N1'
_symmetry_space_group_name_H-M 'P 1'
_symmetry_Int_Tables_number 1
_cell_length_a 5.1388
_cell_length_b 5.1388
_cell_length_c 3.6832
_cell_angle_alpha 90.00
_cell_angle_beta 90.00
_cell_angle_gamma 90.00
loop_
_symmetry_equiv_pos_as_xyz
'x,y,z'
loop_
_atom_site_label
_atom_site_type_symbol
_atom_site_fract_x
_atom_site_fract_y
_atom_site_fract_z
_atom_site_occupancy
Ge1 Ge 0.5000 0.5000 0.5000 1
Os1 Os 0.0000 0.0000 0.0000 1
Se1 Se 0.0000 0.5000 0.0000 1
Se2 Se 0.5000 0.0000 0.0000 1
N1 N 0.0000 0.0000 0.5000 1
# **Final energy**: -5.83 eV per atom
# **E_form (uncorrected)**: 2.02 eV/f.u.
# **Relative energy among the computed polymorphs**: 0 meV/atom

=====

Entry 5:
# Sr4MgCu2 (GGA-PBE, relaxed)
data_Sr4MgCu2
_chemical_formula_sum 'Sr8 Mg2 Cu4'
_symmetry_space_group_name_H-M 'P 1'
_symmetry_Int_Tables_number 1
_cell_length_a 5.7318
_cell_length_b 5.7382
_cell_length_c 16.5311
_cell_angle_alpha 90.00
_cell_angle_beta 90.00
_cell_angle_gamma 119.96
loop_
_symmetry_equiv_pos_as_xyz
'x,y,z'
loop_
_atom_site_label
_atom_site_type_symbol
_atom_site_fract_x
_atom_site_fract_y
_atom_site_fract_z
_atom_site_occupancy
Sr1 Sr 0.8327 0.6654 0.1226 1
Sr2 Sr 0.8327 0.6654 0.3774 1
Sr3 Sr 0.1673 0.3346 0.8774 1
Sr4 Sr 0.1673 0.3346 0.6226 1
Sr5 Sr 0.8343 0.6685 0.7500 1
Sr6 Sr 0.1657 0.3315 0.2500 1
Sr7 Sr 0.5000 0.0000 0.0000 1
Sr8 Sr 0.5000 0.0000 0.5000 1
Mg1 Mg 0.5011 0.0021 0.7500 1
Mg2 Mg 0.4989 0.9979 0.2500 1
Cu1 Cu 0.1667 0.3333 0.4370 1
Cu2 Cu 0.8333 0.6667 0.9370 1
Cu3 Cu 0.1667 0.3333 0.0630 1
Cu4 Cu 0.8333 0.6667 0.5630 1
# **Final energy**: -2.31 eV per atom
# **Energy of formation from the pure elements**: 0.05 eV/atom

=====

Entry 6:
# AlGa2Si2Pd5 (GGA-PBE, relaxed)
data_AlGa2Si2Pd5
_chemical_formula_sum 'Al2 Ga4 Si4 Pd10'
_symmetry_space_group_name_H-M 'P 1'
_symmetry_Int_Tables_number 1
_cell_length_a 3.0709
_cell_length_b 10.0320
_cell_length_c 10.0320
_cell_angle_alpha 90.00
_cell_angle_beta 90.00
_cell_angle_gamma 90.00
loop_
_symmetry_equiv_pos_as_xyz
'x,y,z'
loop_
_atom_site_label
_atom_site_type_symbol
_atom_site_fract_x
_atom_site_fract_y
_atom_site_fract_z
_atom_site_occupancy
Al1 Al 0.0000 0.0000 0.0000 1
Al2 Al 0.0000 0.5000 0.5000 1
Ga1 Ga 0.0000 0.6793 0.1793 1
Ga2 Ga 0.0000 0.3207 0.8207 1
Ga3 Ga 0.0000 0.1793 0.3207 1
Ga4 Ga 0.0000 0.8207 0.6793 1
Si1 Si 0.0000 0.1449 0.6449 1
Si2 Si 0.0000 0.8551 0.3551 1
Si3 Si 0.0000 0.6449 0.8551 1
Si4 Si 0.0000 0.3551 0.1449 1
Pd1 Pd 0.5000 0.2117 0.0050 1
Pd2 Pd 0.5000 0.7883 0.9950 1
Pd3 Pd 0.5000 0.0050 0.7883 1
Pd4 Pd 0.5000 0.7117 0.4950 1
Pd5 Pd 0.5000 0.9950 0.2117 1
Pd6 Pd 0.5000 0.2883 0.5050 1
Pd7 Pd 0.5000 0.5050 0.7117 1
Pd8 Pd 0.5000 0.4950 0.2883 1
Pd9 Pd 0.5000 0.5000 0.0000 1
Pd10 Pd 0.5000 0.0000 0.5000 1
# **Final energy**: -5.15 eV per atom
# **E_form (uncorrected)**: -4.86 eV/f.u.

=====

Entry 7:
# Er2GePPt6 (GGA-PBE, relaxed)
data_Er2GePPt6
_chemical_formula_sum 'Er4 Ge2 P2 Pt12'
_symmetry_space_group_name_H-M 'P 1'
_symmetry_Int_Tables_number 1
_cell_length_a 5.5365
_cell_length_b 8.2773
_cell_length_c 8.3830
_cell_angle_alpha 90.00
_cell_angle_beta 90.00
_cell_angle_gamma 90.00
loop_
_symmetry_equiv_pos_as_xyz
'x,y,z'
loop_
_atom_site_label
_atom_site_type_symbol
_atom_site_fract_x
_atom_site_fract_y
_atom_site_fract_z
_atom_site_occupancy
Er1 Er 0.5000 0.7360 0.2584 1
Er2 Er 0.0000 0.2640 0.7584 1
Er3 Er 0.5000 0.7360 0.7416 1
Er4 Er 0.0000 0.2640 0.2416 1
Ge1 Ge 0.0000 0.7207 0.5000 1
Ge2 Ge 0.5000 0.2793 0.0000 1
P1 P 0.5000 0.2534 0.5000 1
P2 P 0.0000 0.7466 0.0000 1
Pt1 Pt 0.5000 0.1245 0.2548 1
Pt2 Pt 0.5000 0.1245 0.7452 1
Pt3 Pt 0.0000 0.8755 0.2452 1
Pt4 Pt 0.0000 0.8755 0.7548 1
Pt5 Pt 0.2516 0.9875 0.5000 1
Pt6 Pt 0.7484 0.9875 0.5000 1
Pt7 Pt 0.2496 0.4759 0.5000 1
Pt8 Pt 0.7504 0.4759 0.5000 1
Pt9 Pt 0.7496 0.5241 0.0000 1
Pt10 Pt 0.2504 0.5241 0.0000 1
Pt11 Pt 0.2484 0.0125 0.0000 1
Pt12 Pt 0.7516 0.0125 0.0000 1
# **Final energy**: -6.42 eV per atom
# **Energy of formation from the pure elements**: -0.88 eV/atom

=====

Entry 8:
# Na12Hg2Pb5 (GGA-PBE, relaxed)
data_Na12Hg2Pb5
_chemical_formula_sum 'Na12 Hg2 Pb5'
_symmetry_space_group_name_H-M 'P 1'
_symmetry_Int_Tables_number 1
_cell_length_a 9.5958
_cell_length_b 8.7422
_cell_length_c 7.9287
_cell_angle_alpha 92.10
_cell_angle_beta 90.00
_cell_angle_gamma 123.29
loop_
_symmetry_equiv_pos_as_xyz
'x,y,z'
loop_
_atom_site_label
_atom_site_type_symbol
_atom_site_fract_x
_atom_site_fract_y
_atom_site_fract_z
_atom_site_occupancy
Na1 Na 0.9074 0.8148 0.1151 1
Na2 Na 0.0265 0.6852 0.7555 1
Na3 Na 0.6587 0.6852 0.7555 1
Na4 Na 0.1535 0.7483 0.3469 1
Na5 Na 0.5949 0.7483 0.3469 1
Na6 Na 0.4641 0.9282 0.7052 1
Na7 Na 0.5359 0.0718 0.2948 1
Na8 Na 0.8465 0.2517 0.6531 1
Na9 Na 0.4051 0.2517 0.6531 1
Na10 Na 0.9735 0.3148 0.2445 1
Na11 Na 0.3413 0.3148 0.2445 1
Na12 Na 0.0926 0.1852 0.8849 1
Hg1 Hg 0.7081 0.0000 0.0000 1
Hg2 Hg 0.2919 0.0000 0.0000 1
Pb1 Pb 0.2542 0.5083 0.5944 1
Pb2 Pb 0.3176 0.6351 0.0025 1
Pb3 Pb 0.0000 0.0000 0.5000 1
Pb4 Pb 0.6824 0.3649 0.9975 1
Pb5 Pb 0.7458 0.4917 0.4056 1
# **Final energy**: -1.96 eV per atom
# **Energy of formation from the pure elements**: -0.12 eV/atom

=====

Entry 9:
# AlTlHg (GGA-PBE, relaxed)
data_AlTlHg
_chemical_formula_sum 'Al2 Tl2 Hg2'
_symmetry_space_group_name_H-M 'P 1'
_symmetry_Int_Tables_number 1
_cell_length_a 6.2568
_cell_length_b 3.2054
_cell_length_c 7.9627
_cell_angle_alpha 80.74
_cell_angle_beta 72.09
_cell_angle_gamma 88.71
loop_
_symmetry_equiv_pos_as_xyz
'x,y,z'
loop_
_atom_site_label
_atom_site_type_symbol
_atom_site_fract_x
_atom_site_fract_y
_atom_site_fract_z
_atom_site_occupancy
Tl1 Tl 0.4123 0.4045 0.9301 1
Tl2 Tl 0.8059 0.7373 0.1659 1
Hg1 Hg 0.2121 0.9226 0.3288 1
Hg2 Hg 0.0062 0.2180 0.7672 1
Al1 Al 0.4430 0.3319 0.5243 1
Al2 Al 0.7754 0.8085 0.5717 1
# **Final energy**: -2.02 eV per atom
# **Energy of formation from the pure elements**: 0.12 eV/atom

=====

Entry 10:
# YSi (GGA-PBE, relaxed)
data_YSi
_chemical_formula_sum 'Y8 Si8'
_symmetry_space_group_name_H-M 'P 1'
_symmetry_Int_Tables_number 1
_cell_length_a 8.5965
_cell_length_b 8.5965
_cell_length_c 5.7649
_cell_angle_alpha 90.00
_cell_angle_beta 90.00
_cell_angle_gamma 90.00
loop_
_symmetry_equiv_pos_as_xyz
'x,y,z'
loop_
_atom_site_label
_atom_site_type_symbol
_atom_site_fract_x
_atom_site_fract_y
_atom_site_fract_z
_atom_site_occupancy
Y1 Y 0.8183 0.4264 0.5000 1
Y2 Y 0.1817 0.5736 0.5000 1
Y3 Y 0.5736 0.8183 0.5000 1
Y4 Y 0.4264 0.1817 0.5000 1
Y5 Y 0.8620 0.7628 0.0000 1
Y6 Y 0.1380 0.2372 0.0000 1
Y7 Y 0.2372 0.8620 0.0000 1
Y8 Y 0.7628 0.1380 0.0000 1
Si1 Si 0.9268 0.8032 0.5000 1
Si2 Si 0.0732 0.1968 0.5000 1
Si3 Si 0.1968 0.9268 0.5000 1
Si4 Si 0.8032 0.0732 0.5000 1
Si5 Si 0.8694 0.4469 0.0000 1
Si6 Si 0.1306 0.5531 0.0000 1
Si7 Si 0.5531 0.8694 0.0000 1
Si8 Si 0.4469 0.1306 0.0000 1
# **Final energy**: -6.14 eV per atom
# **E_form (uncorrected)**: -0.40 eV/f.u.

=====

What is the formula in the first record?
KZrAsSe2

=====

Which of these has the lowest final energy?
Zr3BiH

=====

Which value of final energy does entry 10 give?
-6.14 eV per atom

=====

What is the final energy in the first record?
-4.22 eV per atom